P2PtNO after structural relaxation. Source: Alexandria, functional PBE-GGA.

The structure belongs to space group P4/mmm (No. 123); the cell edges are 4.7637, 4.7637 and 3.7876 Å and the angles 90.00°, 90.00° and 90.00°. Symmetry generates all atoms from P at (0.0000, 0.5000, 0.0000), Pt at (0.0000, 0.0000, 0.0000), N at (0.5000, 0.5000, 0.5000) and O at (0.0000, 0.0000, 0.5000).

The calculation puts the energy above the most stable polymorph in this dataset at 697 meV per atom. Its total moment is 1.0 μB per cell. The density of states at the Fermi level comes out at 3.11 states/eV/f.u.